First-principles (PBE-GGA) data for a relaxed structure of MnAg2, as listed in Alexandria via LeMat-Bulk.

Cell: 5.4708 5.4708 8.6666 Å, 90.00 90.00 120.00°
Space group P6_3/mmc (No. 194)
Unique sites:
1 Mn 0.3333 0.6667 0.0564
2 Ag 0.0000 0.0000 0.0000
3 Ag 0.1713 0.3427 0.7500

## Properties
Formation energy from the elements   0.452 eV per atom
Raw total energy   -4.505 eV/atom
Crystal system   hexagonal

First-principles (PBE-GGA) data for a relaxed structure of MnAg5, as listed in Alexandria via LeMat-Bulk.

Cell: 5.3825 5.3825 4.7984 Å, 90.00 90.00 120.00°
Space group P6/mmm (No. 191)
Unique sites:
1 Mn 0.0000 0.0000 0.0000
2 Ag 0.0000 0.5000 0.5000
3 Ag 0.3333 0.6667 0.0000

## Properties
Formation energy from the elements   0.358 eV per atom
Raw total energy   -3.547 eV/atom
Crystal system   hexagonal

First-principles (PBE-GGA) data for a relaxed structure of MnAg2, as listed in Alexandria via LeMat-Bulk.

Cell: 4.6166 4.6166 5.5865 Å, 90.00 90.00 120.00°
Space group P6_3/mmc (No. 194)
Unique sites:
1 Mn 0.3333 0.6667 0.2500
2 Ag 0.0000 0.0000 0.0000
3 Ag 0.3333 0.6667 0.7500

## Properties
Formation energy from the elements   0.273 eV per atom
Raw total energy   -4.684 eV/atom
Crystal system   hexagonal

First-principles (PBE-GGA) data for a relaxed structure of Mn5Ag, as listed in Alexandria via LeMat-Bulk.

Cell: 8.765 2.705 7.358 Å, 90.00 113.06 90.00°
Space group Cm (No. 8)
Unique sites:
1 Mn 0.000 0.000 0.000
2 Mn 0.004 0.000 0.468
3 Mn 0.168 0.500 0.294
4 Mn 0.329 0.000 0.612
5 Mn 0.350 0.000 0.178
6 Ag 0.170 0.500 0.818

## Properties
Formation energy from the elements   0.305 eV per atom
Raw total energy   -7.811 eV/atom
Crystal system   monoclinic

First-principles (PBE-GGA) data for a relaxed structure of MnAg2, as listed in Alexandria via LeMat-Bulk.

Cell: 10.706 2.919 6.829 Å, 90.00 106.47 90.00°
Space group C2/m (No. 12)
Unique sites:
1 Mn 0.193 0.000 0.133
2 Ag 0.029 0.500 0.809
3 Ag 0.142 0.000 0.533

## Properties
Formation energy from the elements   0.247 eV per atom
Raw total energy   -4.711 eV/atom
Crystal system   monoclinic

First-principles (PBE-GGA) data for a relaxed structure of MnAg2, as listed in Alexandria via LeMat-Bulk.

Cell: 7.664 7.664 7.664 Å, 90.00 90.00 90.00°
Space group Fd-3m (No. 227, origin choice 2)
Unique sites:
1 Mn 0.125 0.125 0.125
2 Ag 0.000 0.000 0.500

## Properties
Formation energy from the elements   0.461 eV per atom
Raw total energy   -4.496 eV/atom
Crystal system   cubic

First-principles (PBE-GGA) data for a relaxed structure of Mn5Ag, as listed in Alexandria via LeMat-Bulk.

Cell: 6.733 6.733 6.733 Å, 90.00 90.00 90.00°
Space group F-43m (No. 216)
Unique sites:
1 Mn 0.000 0.000 0.000
2 Mn 0.125 0.125 0.375
3 Ag 0.250 0.250 0.750

## Properties
Formation energy from the elements   0.328 eV per atom
Raw total energy   -7.789 eV/atom
Crystal system   cubic

First-principles (PBE-GGA) data for a relaxed structure of MnAg2, as listed in Alexandria via LeMat-Bulk.

Cell: 3.041 14.461 4.658 Å, 90.00 90.00 90.00°
Space group Cmcm (No. 63)
Unique sites:
1 Mn 0.000 0.103 0.250
2 Ag 0.000 0.229 0.750
3 Ag 0.000 0.440 0.250

## Properties
Formation energy from the elements   0.229 eV per atom
Raw total energy   -4.728 eV/atom
Crystal system   orthorhombic

First-principles (PBE-GGA) data for a relaxed structure of Mn4Ag3, as listed in Alexandria via LeMat-Bulk.

Cell: 2.745 2.745 26.114 Å, 90.00 90.00 90.00°
Space group I4/mmm (No. 139)
Unique sites:
1 Mn 0.000 0.000 0.081
2 Mn 0.000 0.000 0.374
3 Ag 0.000 0.000 0.207
4 Ag 0.000 0.000 0.500

## Properties
Formation energy from the elements   0.362 eV per atom
Raw total energy   -6.099 eV/atom
Crystal system   tetragonal

First-principles (PBE-GGA) data for a relaxed structure of Mn2Ag, as listed in Alexandria via LeMat-Bulk.

Cell: 4.542 4.542 2.937 Å, 90.00 90.00 90.00°
Space group P4/mmm (No. 123)
Unique sites:
1 Mn 0.000 0.500 0.000
2 Ag 0.000 0.000 0.500

## Properties
Formation energy from the elements   0.816 eV per atom
Raw total energy   -6.247 eV/atom
Crystal system   tetragonal

First-principles (PBE-GGA) data for a relaxed structure of MnAg6, as listed in Alexandria via LeMat-Bulk.

Cell: 7.437 7.437 7.437 Å, 90.00 90.00 90.00°
Space group Im-3m (No. 229)
Unique sites:
1 Mn 0.000 0.000 0.000
2 Ag 0.000 0.250 0.500

## Properties
Formation energy from the elements   1.005 eV per atom
Raw total energy   -2.749 eV/atom
Crystal system   cubic

First-principles (PBE-GGA) data for a relaxed structure of Mn5Ag, as listed in Alexandria via LeMat-Bulk.

Cell: 4.134 2.674 14.085 Å, 90.00 90.00 90.00°
Space group Amm2 (No. 38)
Unique sites:
1 Mn 0.000 0.000 0.000
2 Mn 0.000 0.000 0.293
3 Mn 0.000 0.000 0.647
4 Mn 0.500 0.000 0.191
5 Mn 0.500 0.000 0.551
6 Ag 0.500 0.000 0.875

## Properties
Formation energy from the elements   0.308 eV per atom
Raw total energy   -7.808 eV/atom
Crystal system   orthorhombic

First-principles (PBE-GGA) data for a relaxed structure of MnAg2, as listed in Alexandria via LeMat-Bulk.

Cell: 6.294 6.294 6.294 Å, 90.00 90.00 90.00°
Space group Pa-3 (No. 205)
Unique sites:
1 Mn 0.000 0.000 0.000
2 Ag 0.128 0.628 0.872

## Properties
Formation energy from the elements   0.747 eV per atom
Raw total energy   -4.211 eV/atom
Crystal system   cubic

First-principles (PBE-GGA) data for a relaxed structure of MnAg2, as listed in Alexandria via LeMat-Bulk.

Cell: 4.578 4.578 2.945 Å, 90.00 90.00 90.00°
Space group P4/mmm (No. 123)
Unique sites:
1 Mn 0.000 0.000 0.000
2 Ag 0.000 0.500 0.500

## Properties
Formation energy from the elements   0.502 eV per atom
Raw total energy   -4.456 eV/atom
Crystal system   tetragonal

First-principles (PBE-GGA) data for a relaxed structure of MnAg4, as listed in Alexandria via LeMat-Bulk.

Cell: 4.916 4.916 4.916 Å, 90.00 90.00 90.00°
Space group Pm-3m (No. 221)
Unique sites:
1 Mn 0.000 0.000 0.000
2 Ag 0.000 0.000 0.500
3 Ag 0.500 0.500 0.500

## Properties
Formation energy from the elements   0.931 eV per atom
Raw total energy   -3.184 eV/atom
Crystal system   cubic

First-principles (PBE-GGA) data for a relaxed structure of MnAg5, as listed in Alexandria via LeMat-Bulk.

Cell: 10.870 2.908 6.915 Å, 90.00 105.84 90.00°
Space group Cm (No. 8)
Unique sites:
1 Mn 0.000 0.000 0.000
2 Ag 0.111 0.500 0.731
3 Ag 0.165 0.500 0.327
4 Ag 0.283 0.000 0.058
5 Ag 0.336 0.000 0.670
6 Ag 0.448 0.500 0.389

## Properties
Formation energy from the elements   0.137 eV per atom
Raw total energy   -3.767 eV/atom
Crystal system   monoclinic

First-principles (PBE-GGA) data for a relaxed structure of MnAg2, as listed in Alexandria via LeMat-Bulk.

Cell: 2.9262 2.9262 6.9297 Å, 90.00 90.00 120.00°
Space group P-3m1 (No. 164)
Unique sites:
1 Mn 0.0000 0.0000 0.0000
2 Ag 0.3333 0.6667 0.6750

## Properties
Formation energy from the elements   0.256 eV per atom
Raw total energy   -4.701 eV/atom
Crystal system   trigonal

First-principles (PBE-GGA) data for a relaxed structure of MnAg2, as listed in Alexandria via LeMat-Bulk.

Cell: 4.6597 4.6597 2.8011 Å, 90.00 90.00 120.00°
Space group P6/mmm (No. 191)
Unique sites:
1 Mn 0.0000 0.0000 0.0000
2 Ag 0.3333 0.6667 0.5000

## Properties
Formation energy from the elements   0.323 eV per atom
Raw total energy   -4.634 eV/atom
Crystal system   hexagonal

First-principles (PBE-GGA) data for a relaxed structure of MnAg2, as listed in Alexandria via LeMat-Bulk.

Cell: 2.872 2.872 25.766 Å, 90.00 90.00 90.00°
Space group I4_1/amd (No. 141, origin choice 2)
Unique sites:
1 Mn 0.000 0.250 0.375
2 Ag 0.000 0.250 0.799

## Properties
Formation energy from the elements   0.300 eV per atom
Raw total energy   -4.657 eV/atom
Crystal system   tetragonal

First-principles (PBE-GGA) data for a relaxed structure of MnAg2, as listed in Alexandria via LeMat-Bulk.

Cell: 6.404 6.404 5.233 Å, 90.00 90.00 90.00°
Space group I4/mcm (No. 140)
Unique sites:
1 Mn 0.000 0.000 0.250
2 Ag 0.155 0.345 0.000

## Properties
Formation energy from the elements   0.402 eV per atom
Raw total energy   -4.556 eV/atom
Crystal system   tetragonal

First-principles (PBE-GGA) data for a relaxed structure of Mn2Ag, as listed in Alexandria via LeMat-Bulk.

Cell: 3.706 11.996 4.022 Å, 90.00 90.00 90.00°
Space group Cmcm (No. 63)
Unique sites:
1 Mn 0.000 0.107 0.250
2 Mn 0.000 0.250 0.750
3 Ag 0.000 0.420 0.250

## Properties
Formation energy from the elements   0.311 eV per atom
Raw total energy   -6.753 eV/atom
Crystal system   orthorhombic

First-principles (PBE-GGA) data for a relaxed structure of MnAg2, as listed in Alexandria via LeMat-Bulk.

Cell: 7.8673 7.8673 2.8530 Å, 90.00 90.00 120.00°
Space group P-62m (No. 189)
Unique sites:
1 Mn 0.0000 0.0000 0.0000
2 Mn 0.3333 0.6667 0.5000
3 Ag 0.0000 0.3068 0.5000
4 Ag 0.0000 0.6416 0.0000

## Properties
Formation energy from the elements   0.260 eV per atom
Raw total energy   -4.698 eV/atom
Crystal system   hexagonal

First-principles (PBE-GGA) data for a relaxed structure of MnAg2, as listed in Alexandria via LeMat-Bulk.

Cell: 5.846 4.087 8.578 Å, 90.00 90.00 90.00°
Space group Pnma (No. 62)
Unique sites:
1 Mn 0.137 0.250 0.087
2 Ag 0.108 0.250 0.757
3 Ag 0.140 0.250 0.421

## Properties
Formation energy from the elements   0.241 eV per atom
Raw total energy   -4.717 eV/atom
Crystal system   orthorhombic

First-principles (PBE-GGA) data for a relaxed structure of Mn2Ag3, as listed in Alexandria via LeMat-Bulk.

Cell: 2.9320 2.9320 34.2758 Å, 90.00 90.00 120.00°
Space group R-3m (No. 166, hexagonal axes)
Unique sites:
1 Mn 0.0000 0.0000 0.1005
2 Ag 0.0000 0.0000 0.2981
3 Ag 0.0000 0.0000 0.5000

## Properties
Formation energy from the elements   0.316 eV per atom
Raw total energy   -5.062 eV/atom
Crystal system   trigonal

First-principles (PBE-GGA) data for a relaxed structure of MnAg5, as listed in Alexandria via LeMat-Bulk.

Cell: 4.739 14.272 3.120 Å, 90.00 90.00 90.00°
Space group Cmmm (No. 65)
Unique sites:
1 Mn 0.000 0.000 0.000
2 Ag 0.000 0.161 0.500
3 Ag 0.000 0.331 0.000
4 Ag 0.000 0.500 0.500

## Properties
Formation energy from the elements   0.162 eV per atom
Raw total energy   -3.742 eV/atom
Crystal system   orthorhombic

First-principles (PBE-GGA) data for a relaxed structure of MnAg5, as listed in Alexandria via LeMat-Bulk.

Cell: 7.687 7.687 7.687 Å, 90.00 90.00 90.00°
Space group F-43m (No. 216)
Unique sites:
1 Mn 0.000 0.000 0.000
2 Ag 0.125 0.125 0.625
3 Ag 0.250 0.250 0.250

## Properties
Formation energy from the elements   0.305 eV per atom
Raw total energy   -3.600 eV/atom
Crystal system   cubic

First-principles (PBE-GGA) data for a relaxed structure of MnAg2, as listed in Alexandria via LeMat-Bulk.

Cell: 10.705 2.912 6.827 Å, 90.00 105.36 90.00°
Space group Cm (No. 8)
Unique sites:
1 Mn 0.000 0.000 0.000
2 Mn 0.167 0.500 0.328
3 Ag 0.112 0.500 0.727
4 Ag 0.277 0.000 0.060
5 Ag 0.334 0.000 0.662
6 Ag 0.452 0.500 0.384

## Properties
Formation energy from the elements   0.262 eV per atom
Raw total energy   -4.696 eV/atom
Crystal system   monoclinic